No. 1
Density functional theory data (PBE) for SrCrCd2In after structural relaxation.

The space group is P4/mmm (No. 123) and the conventional cell measures 6.107, 6.107 and 6.269 Å, with angles of 90.00, 90.00 and 90.00 degrees. The asymmetric unit holds Sr at (0.000, 0.000, 0.000), Cr at (0.500, 0.500, 0.500), Cd at (0.000, 0.500, 0.000) and In at (0.000, 0.000, 0.500).

The raw total energy comes out at -2.0482 eV per atom. As for the crystal system: tetragonal. The formation energy is 1.127 eV per atom.

No. 2
Density functional theory data (PBE) for BaZrCr2 after structural relaxation.

The space group is I-4m2 (No. 119) and the conventional cell measures 4.425, 4.425 and 9.897 Å, with angles of 90.00, 90.00 and 90.00 degrees. The asymmetric unit holds Ba at (0.000, 0.000, 0.000), Zr at (0.000, 0.500, 0.250), Cr at (0.000, 0.000, 0.500) and Cr at (0.000, 0.500, 0.750).

The raw total energy comes out at -6.3703 eV per atom. As for the crystal system: tetragonal. The formation energy is 1.059 eV per atom.

No. 3
Density functional theory data (PBE) for Dy8YEr3 after structural relaxation.

The space group is I4/mmm (No. 139) and the conventional cell measures 7.656, 7.656 and 15.318 Å, with angles of 90.00, 90.00 and 90.00 degrees. The asymmetric unit holds Dy at (0.249, 0.249, 0.126), Y at (0.000, 0.000, 0.500), Er at (0.000, 0.000, 0.000) and Er at (0.000, 0.500, 0.250).

The raw total energy comes out at -4.0171 eV per atom. As for the crystal system: tetragonal. The formation energy is 0.730 eV per atom.

No. 4
Density functional theory data (PBE) for Nd3AlCd2 after structural relaxation.

The space group is P-3m1 (No. 164) and the conventional cell measures 5.3979, 5.3979 and 6.6215 Å, with angles of 90.00, 90.00 and 120.00 degrees. The asymmetric unit holds Nd at (0.0000, 0.0000, 0.0000), Nd at (0.3333, 0.6667, 0.6588), Al at (0.0000, 0.0000, 0.5000) and Cd at (0.3333, 0.6667, 0.1602).

The raw total energy comes out at -3.6292 eV per atom. As for the crystal system: trigonal. The formation energy is -0.316 eV per atom.

Please write out number 3 again, unchanged.
Density functional theory data (PBE) for Dy8YEr3 after structural relaxation.

The space group is I4/mmm (No. 139) and the conventional cell measures 7.656, 7.656 and 15.318 Å, with angles of 90.00, 90.00 and 90.00 degrees. The asymmetric unit holds Dy at (0.249, 0.249, 0.126), Y at (0.000, 0.000, 0.500), Er at (0.000, 0.000, 0.000) and Er at (0.000, 0.500, 0.250).

The raw total energy comes out at -4.0171 eV per atom. As for the crystal system: tetragonal. The formation energy is 0.730 eV per atom.

- Which formula does entry 3 have?
  Dy8YEr3

- Which formula does entry 1 have?
  SrCrCd2In

- What is the formula in the first record?
  SrCrCd2In